The following is a DFT calculation (GGA-PBE) of a geometry-optimized SrTe2P structure.

```
SrTe2P
1.0
4.276 0.000 0.000
0.000 4.276 0.000
0.000 0.000 6.211
P Te Sr
1 2 1
direct
0.500 0.500 0.000 P
0.000 0.000 0.239 Te
0.000 0.000 0.761 Te
0.500 0.500 0.500 Sr
```

Properties
- E_form (uncorrected) (kJ per mole of atoms) = -22.7
- D(E_F) (states/eV per cell) = 1.6
- total energy (eV per atom) = -3.58
- energy above the lowest structure with this stoichiometry (meV per atom) = 421
- space group = No. 123

***

The following is a DFT calculation (GGA-PBE) of a geometry-optimized Pm5Ga5Ni2 structure.

```
Pm5Ga5Ni2
1.0
4.372 0.000 0.986
2.236 7.607 0.273
0.445 -0.671 8.213
Ga Pm Ni
5 5 2
direct
0.291 0.746 0.671 Ga
0.000 0.000 0.000 Ga
0.028 0.727 0.217 Ga
0.972 0.273 0.783 Ga
0.709 0.254 0.329 Ga
0.307 0.323 0.063 Pm
0.693 0.677 0.937 Pm
0.000 0.500 0.500 Pm
0.347 0.975 0.332 Pm
0.653 0.025 0.668 Pm
0.411 0.432 0.745 Ni
0.589 0.568 0.255 Ni
```

Properties
- D(E_F) (states/eV per cell) = 11.5
- total energy (eV per atom) = -4.73
- space group = No. 12
- formation energy (meV per atom) = -525

***

The following is a DFT calculation (GGA-PBE) of a geometry-optimized RbHfIrN2 structure.

```
RbHfIrN2
1.0
-0.890 -4.251 0.633
3.050 -0.006 4.250
-3.453 1.092 2.480
Ir N Rb Hf
1 2 1 1
direct
0.000 0.500 0.000 Ir
0.000 0.000 0.500 N
0.500 0.000 0.000 N
0.500 0.500 0.500 Rb
0.000 0.000 0.000 Hf
```

Properties
- E_form (uncorrected) (kJ per mole of atoms) = 83.2
- D(E_F) (states/eV per cell) = 4.2
- total energy (eV per atom) = -6.42
- space group = No. 123

***

The following is a DFT calculation (GGA-PBE) of a geometry-optimized Ho2HfSc4 structure.

```
Ho2HfSc4
1.0
-3.774 -3.325 -0.483
2.793 -3.508 2.330
-2.520 5.791 6.259
Ho Sc Hf
2 4 1
direct
0.627 0.627 0.255 Ho
0.373 0.373 0.745 Ho
0.500 0.000 0.000 Sc
0.000 0.500 0.000 Sc
0.827 0.827 0.654 Sc
0.173 0.173 0.346 Sc
0.000 0.000 0.000 Hf
```

Properties
- D(E_F) (states/eV per cell) = 10.8
- total energy (eV per atom) = -5.72
- energy above the lowest structure with this stoichiometry (meV per atom) = 588
- space group = No. 139
- formation energy (meV per atom) = 625

***

The following is a DFT calculation (GGA-PBE) of a geometry-optimized Th2MnP4Ir3 structure.

```
Th2MnP4Ir3
1.0
4.200 0.000 0.000
0.000 4.200 0.000
0.000 0.000 9.439
P Th Ir Mn
4 2 3 1
direct
0.500 0.000 0.627 P
0.500 0.500 0.000 P
0.000 0.000 0.000 P
0.000 0.500 0.373 P
0.000 0.500 0.751 Th
0.500 0.000 0.249 Th
0.500 0.000 0.886 Ir
0.000 0.500 0.114 Ir
0.000 0.000 0.500 Ir
0.500 0.500 0.500 Mn
```

Properties
- D(E_F) (states/eV per cell) = 6.8
- total energy (eV per atom) = -8.24
- space group = No. 115
- formation energy (meV per atom) = -1020

***

The following is a DFT calculation (GGA-PBE) of a geometry-optimized ScGe3F structure.

```
ScGe3F
1.0
5.210 0.000 0.000
0.000 5.210 0.000
0.000 0.000 5.210
Ge Sc F
3 1 1
direct
0.500 0.000 0.000 Ge
0.000 0.500 0.000 Ge
0.000 0.000 0.500 Ge
0.000 0.000 0.000 Sc
0.500 0.500 0.500 F
```

Properties
- E_form (uncorrected) (kJ per mole of atoms) = 34.5
- D(E_F) (states/eV per cell) = 4.4
- total energy (eV per atom) = -4.05
- energy above the lowest structure with this stoichiometry (meV per atom) = 741
- space group = No. 221

***

The following is a DFT calculation (GGA-PBE) of a geometry-optimized NdGdAlZn structure.

```
NdGdAlZn
1.0
5.203 0.000 0.000
2.601 4.506 0.000
2.601 1.502 4.248
Zn Gd Nd Al
1 1 1 1
direct
0.000 0.000 0.000 Zn
0.750 0.750 0.750 Gd
0.250 0.250 0.250 Nd
0.500 0.500 0.500 Al
```

Properties
- D(E_F) (states/eV per cell) = 3.8
- total energy (eV per atom) = -6.31
- space group = No. 216
- formation energy (meV per atom) = -344

***

The following is a DFT calculation (GGA-PBE) of a geometry-optimized Mg14CuNi structure.

```
Mg14CuNi
1.0
3.848 2.350 -4.228
-6.015 -0.604 -1.291
-1.668 9.080 3.528
Mg Cu Ni
14 1 1
direct
0.667 0.333 0.751 Mg
0.667 0.333 0.249 Mg
0.160 0.319 0.255 Mg
0.501 0.499 0.500 Mg
0.501 0.002 0.500 Mg
0.160 0.840 0.745 Mg
0.160 0.319 0.745 Mg
0.681 0.840 0.745 Mg
0.681 0.840 0.255 Mg
0.000 0.500 0.000 Mg
0.500 0.000 0.000 Mg
0.500 0.500 0.000 Mg
0.998 0.499 0.500 Mg
0.160 0.840 0.255 Mg
0.000 0.000 0.000 Cu
0.000 0.000 0.500 Ni
```

Properties
- D(E_F) (states/eV per cell) = 4.6
- total energy (eV per atom) = -2.00
- energy above the lowest structure with this stoichiometry (meV per atom) = 8
- space group = No. 187
- formation energy (meV per atom) = 16

***

The following is a DFT calculation (GGA-PBE) of a geometry-optimized BeTlHg structure.

```
BeTlHg
1.0
-1.824 1.843 3.672
-4.299 -0.817 1.026
-1.015 -2.577 3.540
Tl Hg Be
1 1 1
direct
0.500 0.500 0.500 Tl
0.000 0.000 0.000 Hg
0.750 0.750 0.750 Be
```

Properties
- D(E_F) (states/eV per cell) = 0.9
- total energy (eV per atom) = -1.71
- energy above the lowest structure with this stoichiometry (meV per atom) = 0
- space group = No. 216
- formation energy (meV per atom) = 418

***

The following is a DFT calculation (GGA-PBE) of a geometry-optimized SiB2 structure.

```
SiB2
1.0
2.980 -0.002 -0.005
0.884 3.147 0.033
0.848 1.364 3.497
B Si
2 1
direct
0.143 0.858 0.580 B
0.630 0.687 0.784 B
0.538 0.360 0.365 Si
```

Properties
- E_form (uncorrected) (kJ per mole of atoms) = 35.7
- D(E_F) (states/eV per cell) = 0.5
- total energy (eV per atom) = -5.89
- energy above the lowest structure with this stoichiometry (meV per atom) = 179
- space group = No. 1

***

The following is a DFT calculation (GGA-PBE) of a geometry-optimized La2ZnGa3Ni4 structure.

```
La2ZnGa3Ni4
1.0
4.269 0.000 0.000
0.000 4.269 0.000
0.000 0.000 9.704
Ni Ga La Zn
4 3 2 1
direct
0.000 0.500 0.370 Ni
0.500 0.500 0.000 Ni
0.000 0.000 0.000 Ni
0.500 0.000 0.630 Ni
0.000 0.000 0.500 Ga
0.000 0.500 0.119 Ga
0.500 0.000 0.881 Ga
0.500 0.000 0.244 La
0.000 0.500 0.756 La
0.500 0.500 0.500 Zn
```

Properties
- D(E_F) (states/eV per cell) = 8.5
- total energy (eV per atom) = -4.84
- space group = No. 115
- formation energy (meV per atom) = -508

***

The following is a DFT calculation (GGA-PBE) of a geometry-optimized Ca2GeAu2 structure.

```
Ca2GeAu2
1.0
5.859 0.000 0.000
0.000 5.859 0.000
2.929 2.929 3.830
Ca Au Ge
2 2 1
direct
0.250 0.750 0.500 Ca
0.750 0.250 0.500 Ca
0.670 0.670 0.661 Au
0.330 0.330 0.339 Au
0.000 0.000 0.000 Ge
```

Properties
- D(E_F) (states/eV per cell) = 0.0
- total energy (eV per atom) = -3.53
- space group = No. 139
- formation energy (meV per atom) = -498

***

The following is a DFT calculation (GGA-PBE) of a geometry-optimized CsAgSe2Br structure.

```
CsAgSe2Br
1.0
-4.411 2.694 -0.251
-2.646 -4.195 1.477
0.655 1.608 5.740
Cs Br Se Ag
1 1 2 1
direct
0.500 0.500 0.500 Cs
0.000 0.000 0.500 Br
0.000 0.500 0.000 Se
0.500 0.000 0.000 Se
0.000 0.000 0.000 Ag
```

Properties
- E_form (uncorrected) (kJ per mole of atoms) = -28.8
- D(E_F) (states/eV per cell) = 7.4
- total energy (eV per atom) = -2.77
- energy above the lowest structure with this stoichiometry (meV per atom) = 0
- space group = No. 123

***

The following is a DFT calculation (GGA-PBE) of a geometry-optimized OsAu4Cl structure.

```
OsAu4Cl
1.0
0.000 3.903 3.903
3.903 0.000 3.903
3.903 3.903 0.000
Au Cl Os
4 1 1
direct
0.875 0.375 0.375 Au
0.375 0.375 0.375 Au
0.375 0.375 0.875 Au
0.375 0.875 0.375 Au
0.750 0.750 0.750 Cl
0.000 0.000 0.000 Os
```

Properties
- E_form (uncorrected) (kJ per mole of atoms) = 88.4
- D(E_F) (states/eV per cell) = 5.7
- total energy (eV per atom) = -3.45
- space group = No. 216

***

The following is a DFT calculation (GGA-PBE) of a geometry-optimized Mn3TlNi structure.

```
Mn3TlNi
1.0
-3.825 -1.059 2.311
-0.219 -4.022 -2.206
2.533 -1.948 3.299
Mn Ni Tl
3 1 1
direct
0.000 0.500 0.000 Mn
0.000 0.000 0.500 Mn
0.500 0.000 0.000 Mn
0.000 0.000 0.000 Ni
0.500 0.500 0.500 Tl
```

Properties
- D(E_F) (states/eV per cell) = 5.7
- total energy (eV per atom) = -6.44
- energy above the lowest structure with this stoichiometry (meV per atom) = 0
- space group = No. 221
- formation energy (meV per atom) = 689

***

The following is a DFT calculation (GGA-PBE) of a geometry-optimized B5C7 structure.

```
B5C7
1.0
4.614 0.028 -0.633
-2.535 3.755 -0.961
0.130 -0.139 4.611
B C
5 7
direct
0.378 0.647 0.002 B
0.629 0.283 0.016 B
0.517 0.516 0.511 B
0.201 0.883 0.582 B
0.971 0.639 0.942 B
0.582 0.243 0.640 C
0.180 0.552 0.654 C
0.726 0.040 0.145 C
0.355 0.353 0.141 C
0.841 0.175 0.503 C
0.991 0.014 0.991 C
0.878 0.906 0.623 C
```

Properties
- D(E_F) (states/eV per cell) = 1.6
- total energy (eV per atom) = -7.81
- energy above the lowest structure with this stoichiometry (meV per atom) = 99
- space group = No. 1
- formation energy (meV per atom) = 357

***

The following is a DFT calculation (GGA-PBE) of a geometry-optimized NaSn2BiAu structure.

```
NaSn2BiAu
1.0
5.333 0.000 0.000
0.000 5.333 0.000
0.000 0.000 5.807
Sn Na Au Bi
2 1 1 1
direct
0.500 0.000 0.928 Sn
0.000 0.500 0.928 Sn
0.000 0.000 0.508 Na
0.000 0.000 0.020 Au
0.500 0.500 0.616 Bi
```

Properties
- D(E_F) (states/eV per cell) = 3.0
- total energy (eV per atom) = -3.35
- space group = No. 99
- formation energy (meV per atom) = -52

***

The following is a DFT calculation (GGA-PBE) of a geometry-optimized CePmPuO6 structure.

```
CePmPuO6
1.0
5.896 0.000 0.000
-2.948 5.106 0.000
0.000 0.000 9.493
Pm O Ce Pu
2 12 2 2
direct
0.000 0.000 0.500 Pm
0.000 0.000 0.000 Pm
0.643 0.982 0.864 O
0.661 0.643 0.136 O
0.982 0.643 0.364 O
0.357 0.018 0.136 O
0.357 0.339 0.364 O
0.018 0.357 0.636 O
0.339 0.982 0.636 O
0.018 0.661 0.864 O
0.339 0.357 0.864 O
0.661 0.018 0.364 O
0.982 0.339 0.136 O
0.643 0.661 0.636 O
0.667 0.333 0.750 Ce
0.333 0.667 0.250 Ce
0.667 0.333 0.250 Pu
0.333 0.667 0.750 Pu
```

Properties
- E_form (uncorrected) (kJ per mole of atoms) = -296.6
- D(E_F) (states/eV per cell) = 20.9
- total energy (eV per atom) = -9.16
- space group = No. 163

***

The following is a DFT calculation (GGA-PBE) of a geometry-optimized TbMg2Cd8 structure.

```
TbMg2Cd8
1.0
4.478 0.000 -1.287
-0.631 6.512 -2.194
-0.027 0.755 8.339
Cd Mg Tb
8 2 1
direct
0.132 0.219 0.265 Cd
0.592 0.481 0.184 Cd
0.692 0.905 0.384 Cd
0.408 0.519 0.816 Cd
0.868 0.781 0.735 Cd
0.059 0.745 0.119 Cd
0.308 0.095 0.616 Cd
0.941 0.255 0.881 Cd
0.758 0.350 0.517 Mg
0.242 0.650 0.483 Mg
0.500 0.000 0.000 Tb
```

Properties
- D(E_F) (states/eV per cell) = 4.2
- total energy (eV per atom) = -1.51
- space group = No. 12
- formation energy (meV per atom) = -130

***

The following is a DFT calculation (GGA-PBE) of a geometry-optimized TaAs2Cl structure.

```
TaAs2Cl
1.0
-3.557 2.226 2.464
-4.848 0.424 0.003
-1.236 -3.934 3.528
Cl Ta As
1 1 2
direct
0.750 0.750 0.750 Cl
0.250 0.250 0.250 Ta
0.523 0.523 0.425 As
0.977 0.977 0.075 As
```

Properties
- E_form (uncorrected) (kJ per mole of atoms) = 4.4
- D(E_F) (states/eV per cell) = 2.6
- total energy (eV per atom) = -5.70
- energy above the lowest structure with this stoichiometry (meV per atom) = 406
- space group = No. 12